# 1
Computed, not measured: a geometry-optimized SrZnCu6Si structure at the PBE level of DFT.

Cell lengths 7.5919, 5.4206, 8.4889 Å; angles 108.62, 116.56, 90.00 degrees
Positions (direct):
Cu: 0.6367 0.8867 0.2734
Cu: 0.3138 0.5976 0.1805
Cu: 0.3138 0.0829 0.1805
Cu: 0.8668 0.0829 0.1805
Cu: 0.1332 0.4024 0.8195
Cu: 0.0084 0.2584 0.0168
Cu: 0.8668 0.5976 0.1805
Cu: 0.1332 0.9171 0.8195
Cu: 0.9916 0.7416 0.9832
Cu: 0.6862 0.4024 0.8195
Cu: 0.6862 0.9171 0.8195
Cu: 0.3633 0.1133 0.7266
Sr: 0.7409 0.4909 0.4818
Sr: 0.2591 0.5091 0.5182
Zn: 0.0000 0.0000 0.5000
Zn: 0.5000 0.0000 0.5000
Si: 0.5000 0.0000 0.0000
Si: 0.5000 0.5000 0.0000

Calculated values
Space group: No. 74
Magnetic moment, μB per cell: 0.00
Raw formation energy, meV per atom: 21

# 2
Computed, not measured: a geometry-optimized ZrGaCoCu structure at the PBE level of DFT.

Cell lengths 4.3594, 4.3594, 4.3594 Å; angles 60.00, 60.00, 60.00 degrees
Last column: magnetic moment on the atom in μB.
Positions (direct):
Zr: 0.0000 0.0000 0.0000  0.00
Cu: 0.2500 0.2500 0.2500  0.04
Co: 0.7500 0.7500 0.7500  0.45
Ga: 0.5000 0.5000 0.5000  0.01

Calculated values
Formation enthalpy at 0 K, eV/f.u.: -1.2
Space group: No. 216
Magnetic moment, μB per cell: 0.53

# 3
Computed, not measured: a geometry-optimized LaDy8Ho6 structure at the PBE level of DFT.

Cell lengths 9.0033, 9.0033, 8.6203 Å; angles 58.52, 58.52, 60.00 degrees
Positions (direct):
Dy: 0.8886 0.2547 0.5757
Dy: 0.2809 0.8886 0.5757
Dy: 0.1114 0.7453 0.4243
Dy: 0.7453 0.7191 0.4243
Dy: 0.7191 0.1114 0.4243
Dy: 0.2547 0.2809 0.5757
Dy: 0.4231 0.4231 0.7306
Dy: 0.5769 0.5769 0.2694
Ho: 0.8951 0.7637 0.8769
Ho: 0.7637 0.4643 0.8769
Ho: 0.1049 0.2363 0.1231
Ho: 0.2363 0.5357 0.1231
Ho: 0.5357 0.1049 0.1231
Ho: 0.4643 0.8951 0.8769
La: 0.0000 0.0000 0.0000

Calculated values
Formation enthalpy at 0 K, eV/f.u.: 2.1
Space group: No. 148
Magnetic moment, μB per cell: 0.00

# 4
Computed, not measured: a geometry-optimized InSn2I5 structure at the PBE level of DFT.

Cell lengths 8.1763, 12.1553, 15.2823 Å; angles 106.87, 90.00, 90.00 degrees
Positions (direct):
In: 0.0000 0.0000 0.0000
In: 0.0000 0.5000 0.0000
In: 0.5000 0.0000 0.5000
In: 0.5000 0.5000 0.5000
Sn: 0.4691 0.8871 0.1137
Sn: 0.5560 0.6760 0.7966
Sn: 0.9691 0.1129 0.3863
Sn: 0.4440 0.3240 0.2034
Sn: 0.9440 0.6760 0.2966
Sn: 0.5309 0.1129 0.8863
Sn: 0.0560 0.3240 0.7034
Sn: 0.0309 0.8871 0.6137
I: 0.8360 0.1232 0.5860
I: 0.7861 0.9120 0.7868
I: 0.7139 0.9120 0.2868
I: 0.8115 0.4984 0.6684
I: 0.2139 0.0880 0.2132
I: 0.1640 0.8768 0.4140
I: 0.3360 0.8768 0.9140
I: 0.2814 0.7146 0.6382
I: 0.7186 0.2854 0.3618
I: 0.7814 0.2854 0.8618
I: 0.6885 0.4984 0.1684
I: 0.2861 0.0880 0.7132
I: 0.7592 0.7212 0.4817
I: 0.2186 0.7146 0.1382
I: 0.2592 0.2788 0.0183
I: 0.3115 0.5016 0.8316
I: 0.1885 0.5016 0.3316
I: 0.2408 0.2788 0.5183
I: 0.6640 0.1232 0.0860
I: 0.7408 0.7212 0.9817

Calculated values
Space group: No. 14
Magnetic moment, μB per cell: 0.00
Raw formation energy, meV per atom: -443